[1]
VASP calculation (PBE-GGA) on an optimized crystal structure of Li2TbHg.

The structure in POSCAR format:
```
Li2TbHg
1.0
0.000 3.403 3.403
3.403 0.000 3.403
3.403 3.403 0.000
Li Tb Hg
2 1 1
direct
0.250 0.250 0.250
0.750 0.750 0.750
0.000 0.000 0.000
0.500 0.500 0.500
```

Output
ρ = 7.9 g/cm3
total moment = 0.0 μB/cell
symmetry = Fm-3m
energy relative to the lowest polymorph listed for this composition = 60.6 meV per atom
E_form = -0.171 eV/atom

=====

[2]
VASP calculation (PBE-GGA) on an optimized crystal structure of LiTbHg4.

The structure in POSCAR format:
```
LiTbHg4
1.0
3.316 -3.315 0.000
3.316 3.315 0.000
-0.016 0.000 7.124
Li Tb Hg
1 1 4
direct
0.000 0.000 0.000
0.500 0.500 0.500
0.001 0.500 0.785
0.500 0.001 0.785
0.500 0.999 0.215
0.999 0.500 0.215
```

Output
ρ = 10.3 g/cm3
total moment = 0.0 μB/cell
symmetry = C2/m
energy relative to the lowest polymorph listed for this composition = 156.0 meV per atom
E_form = -0.166 eV/atom

=====

[3]
VASP calculation (PBE-GGA) on an optimized crystal structure of LiTb2Hg.

The structure in POSCAR format:
```
LiTb2Hg
1.0
5.173 0.000 0.000
0.000 5.173 0.000
0.000 0.000 3.812
Li Tb Hg
1 2 1
direct
0.000 0.000 0.000
0.000 0.500 0.500
0.500 0.000 0.500
0.500 0.500 0.000
```

Output
ρ = 8.6 g/cm3
total moment = 0.0 μB/cell
symmetry = P4/mmm
energy relative to the lowest polymorph listed for this composition = 0.0 meV per atom
E_form = -0.229 eV/atom

=====

[4]
VASP calculation (PBE-GGA) on an optimized crystal structure of LiTb5Hg8.

The structure in POSCAR format:
```
LiTb5Hg8
1.0
-4.470 4.470 4.469
4.470 -4.470 4.469
4.470 4.470 -4.469
Li Tb Hg
1 5 8
direct
0.000 0.000 0.000
0.156 0.513 0.876
0.250 0.750 0.500
0.487 0.363 0.643
0.637 0.280 0.124
0.720 0.844 0.357
0.019 0.255 0.389
0.178 0.101 0.756
0.346 0.423 0.244
0.370 0.981 0.236
0.577 0.822 0.923
0.745 0.134 0.764
0.866 0.630 0.611
0.899 0.654 0.077
```

Output
ρ = 11.2 g/cm3
total moment = 0.0 μB/cell
symmetry = I-4
E_form = -0.399 eV/atom

=====

[5]
VASP calculation (PBE-GGA) on an optimized crystal structure of LiTb5Hg4.

The structure in POSCAR format:
```
LiTb5Hg4
1.0
3.747 0.000 0.000
0.000 3.747 0.000
0.000 0.000 18.502
Li Tb Hg
1 5 4
direct
0.000 0.000 0.000
0.500 0.500 0.101
0.500 0.500 0.300
0.500 0.500 0.500
0.500 0.500 0.700
0.500 0.500 0.899
0.000 0.000 0.196
0.000 0.000 0.399
0.000 0.000 0.601
0.000 0.000 0.804
```

Output
ρ = 10.3 g/cm3
total moment = 0.9 μB/cell
symmetry = P4/mmm
E_form = -0.362 eV/atom

=====

[6]
VASP calculation (PBE-GGA) on an optimized crystal structure of LiTbHg4.

The structure in POSCAR format:
```
LiTbHg4
1.0
5.103 -1.941 0.000
5.103 1.941 0.000
-2.655 0.000 6.988
Li Tb Hg
1 1 4
direct
0.000 0.000 0.000
0.000 0.000 0.500
0.336 0.336 0.685
0.337 0.337 0.154
0.663 0.663 0.846
0.664 0.664 0.315
```

Output
ρ = 11.6 g/cm3
total moment = 0.0 μB/cell
symmetry = C2/m
energy relative to the lowest polymorph listed for this composition = 0.0 meV per atom
E_form = -0.322 eV/atom